Below is DyZrAs2Rh5 after structural relaxation, with properties calculated at the GGA-PBE level.

The structure in extended XYZ format:
```
9
Lattice="4.175 0.000 0.000 0.000 4.175 0.000 0.000 0.000 8.760" Properties=species:S:1:pos:R:3 pbc="T T T"
Dy 0.000 0.000 4.380
As 2.087 2.087 1.212
As 2.087 2.087 7.549
Zr 0.000 0.000 0.000
Rh 0.000 2.087 2.309
Rh 2.087 2.087 4.380
Rh 2.087 0.000 6.451
Rh 2.087 0.000 2.309
Rh 0.000 2.087 6.451
```

Results
* N(E_F): 6.76 states/eV per cell
* DFT total energy: -7.2105 eV/atom
* calculated formation energy: -0.632 eV/atom